1.
First-principles (PBE-GGA) data for a relaxed Pa2RePt crystal, as listed in Alexandria. Values from VASP.

Output
Symmetry   No. 225
Energy above the lowest structure with this stoichiometry   59 meV/atom
DFT formation energy   -325 meV/atom

The structure in Quantum ESPRESSO input format:
```
&SYSTEM
  ibrav = 0, nat = 16, ntyp = 3
/
ATOMIC_SPECIES
Pa 231.04 Pa.upf
Re 186.21 Re.upf
Pt 195.08 Pt.upf
CELL_PARAMETERS angstrom
6.963 0.000 0.000
0.000 6.963 0.000
0.000 0.000 6.963
ATOMIC_POSITIONS angstrom
Pa 1.741 1.741 1.741
Pa 1.741 1.741 5.222
Pa 1.741 5.222 1.741
Pa 1.741 5.222 5.222
Pa 5.222 1.741 1.741
Pa 5.222 1.741 5.222
Pa 5.222 5.222 1.741
Pa 5.222 5.222 5.222
Re 0.000 0.000 0.000
Re 0.000 3.482 3.482
Re 3.482 0.000 3.482
Re 3.482 3.482 0.000
Pt 0.000 0.000 3.482
Pt 0.000 3.482 0.000
Pt 3.482 0.000 0.000
Pt 3.482 3.482 3.482
```

2.
First-principles (PBE-GGA) data for a relaxed Pa2RePt crystal, as listed in Alexandria. Values from VASP.

Output
Symmetry   No. 123
Energy above the lowest structure with this stoichiometry   85 meV/atom
DFT formation energy   -299 meV/atom

The structure in Quantum ESPRESSO input format:
```
&SYSTEM
  ibrav = 0, nat = 4, ntyp = 3
/
ATOMIC_SPECIES
Pa 231.04 Pa.upf
Re 186.21 Re.upf
Pt 195.08 Pt.upf
CELL_PARAMETERS angstrom
4.514 0.000 0.000
0.000 4.514 0.000
0.000 0.000 4.035
ATOMIC_POSITIONS angstrom
Pa 0.000 2.257 0.000
Pa 2.257 0.000 0.000
Re 0.000 0.000 2.017
Pt 2.257 2.257 2.017
```

3.
First-principles (PBE-GGA) data for a relaxed Pa2RePt crystal, as listed in Alexandria. Values from VASP.

Output
Symmetry   No. 123
Energy above the lowest structure with this stoichiometry   0 meV/atom
DFT formation energy   -384 meV/atom

The structure in Quantum ESPRESSO input format:
```
&SYSTEM
  ibrav = 0, nat = 4, ntyp = 3
/
ATOMIC_SPECIES
Pa 231.04 Pa.upf
Re 186.21 Re.upf
Pt 195.08 Pt.upf
CELL_PARAMETERS angstrom
3.370 0.000 0.000
0.000 3.370 0.000
0.000 0.000 7.422
ATOMIC_POSITIONS angstrom
Pa 0.000 0.000 1.780
Pa 0.000 0.000 5.642
Re 1.685 1.685 0.000
Pt 1.685 1.685 3.711
```

4.
First-principles (PBE-GGA) data for a relaxed TmPaRePt crystal, as listed in Alexandria. Values from VASP.

Output
Symmetry   No. 216
DFT formation energy   -444 meV/atom

The structure in Quantum ESPRESSO input format:
```
&SYSTEM
  ibrav = 0, nat = 16, ntyp = 4
/
ATOMIC_SPECIES
Tm 168.93 Tm.upf
Pa 231.04 Pa.upf
Re 186.21 Re.upf
Pt 195.08 Pt.upf
CELL_PARAMETERS angstrom
6.913 0.000 0.000
0.000 6.913 0.000
0.000 0.000 6.913
ATOMIC_POSITIONS angstrom
Tm 0.000 0.000 0.000
Tm 0.000 3.457 3.457
Tm 3.457 0.000 3.457
Tm 3.457 3.457 0.000
Pa 0.000 0.000 3.457
Pa 0.000 3.457 0.000
Pa 3.457 0.000 0.000
Pa 3.457 3.457 3.457
Re 1.728 1.728 5.185
Re 1.728 5.185 1.728
Re 5.185 1.728 1.728
Re 5.185 5.185 5.185
Pt 1.728 1.728 1.728
Pt 1.728 5.185 5.185
Pt 5.185 1.728 5.185
Pt 5.185 5.185 1.728
```

5.
First-principles (PBE-GGA) data for a relaxed PaPt4Rh crystal, as listed in Alexandria. Values from VASP.

Output
Symmetry   No. 12
Energy above the lowest structure with this stoichiometry   0 meV/atom
DFT formation energy   -692 meV/atom

The structure in Quantum ESPRESSO input format:
```
&SYSTEM
  ibrav = 0, nat = 12, ntyp = 3
/
ATOMIC_SPECIES
Pa 231.04 Pa.upf
Pt 195.08 Pt.upf
Rh 102.91 Rh.upf
CELL_PARAMETERS angstrom
5.077 0.000 0.000
0.000 8.781 0.000
-1.914 0.000 4.617
ATOMIC_POSITIONS angstrom
Pa 0.000 0.000 0.000
Pa 2.539 4.391 0.000
Pt -0.957 1.498 2.309
Pt 0.000 2.947 0.000
Pt 0.000 5.835 0.000
Pt -0.957 7.283 2.309
Pt 2.539 1.444 0.000
Pt 1.581 2.893 2.309
Pt 1.581 5.889 2.309
Pt 2.539 7.337 0.000
Rh -0.957 4.391 2.309
Rh 1.581 0.000 2.309
```

6.
First-principles (PBE-GGA) data for a relaxed Pa3Pt2Rh2 crystal, as listed in Alexandria. Values from VASP.

Output
Symmetry   No. 199
DFT formation energy   -855 meV/atom

The structure in Quantum ESPRESSO input format:
```
&SYSTEM
  ibrav = 0, nat = 14, ntyp = 3
/
ATOMIC_SPECIES
Pa 231.04 Pa.upf
Pt 195.08 Pt.upf
Rh 102.91 Rh.upf
CELL_PARAMETERS angstrom
-4.196 4.196 4.196
4.196 -4.196 4.196
4.196 4.196 -4.196
ATOMIC_POSITIONS angstrom
Pa 4.196 -2.098 3.267
Pa 3.267 4.196 -2.098
Pa 4.196 2.098 0.929
Pa 2.098 0.929 4.196
Pa 0.929 4.196 2.098
Pa -2.098 3.267 4.196
Pt 4.928 -0.732 0.732
Pt 0.732 4.928 -0.732
Pt -0.732 0.732 4.928
Pt 3.465 3.465 3.465
Rh 2.709 1.487 -1.487
Rh 1.487 -1.487 2.709
Rh 1.487 1.487 1.487
Rh -1.487 2.709 1.487
```